Entry 1:
A relaxed structure of La2NiB2IrN2. Source: OQMD via LeMat-Bulk, functional PBE.

Cell: 3.7581 3.7581 7.6711 Å, 90.00 90.00 90.00°
Atoms (fractional coordinates):
La  0.0000  0.5000  0.1694
La  0.5000  0.0000  0.8306
Ni  0.0000  0.0000  0.5000
B  0.0000  0.5000  0.6473
B  0.5000  0.0000  0.3527
Ir  0.5000  0.5000  0.5000
N  0.0000  0.5000  0.8404
N  0.5000  0.0000  0.1596

total energy = -7.858 eV per atom

Entry 2:
A relaxed structure of LaPrB2Ir2N2. Source: OQMD via LeMat-Bulk, functional PBE.

Cell: 3.8545 3.8545 7.6123 Å, 90.00 90.00 90.00°
Atoms (fractional coordinates):
La  0.0000  0.0000  0.0000
Pr  0.5000  0.5000  0.3378
B  0.0000  0.0000  0.5213
B  0.5000  0.5000  0.8162
Ir  0.0000  0.5000  0.6677
Ir  0.5000  0.0000  0.6677
N  0.0000  0.0000  0.3247
N  0.5000  0.5000  0.0123

total energy = -8.272 eV per atom

Entry 3:
A relaxed structure of LaYB2Ir2N2. Source: OQMD via LeMat-Bulk, functional PBE.

Cell: 3.8108 3.8108 7.5396 Å, 90.00 90.00 90.00°
Atoms (fractional coordinates):
La  0.0000  0.0000  0.0000
Y  0.5000  0.5000  0.6687
B  0.0000  0.0000  0.4832
B  0.5000  0.5000  0.1806
Ir  0.0000  0.5000  0.3369
Ir  0.5000  0.0000  0.3369
N  0.0000  0.0000  0.6807
N  0.5000  0.5000  0.9807

total energy = -8.506 eV per atom